[1]
A geometry-optimized ScOs2W structure, computed with PBE.

a = 10.616 Å, b = 2.898 Å, c = 4.660 Å
α = 90.00°, β = 115.52°, γ = 90.00°
Space group Cm (No. 8)
Unique sites:
Sc: 0.000 0.000 0.000 [2 per cell]
Os: 0.005 0.500 0.534 [2 per cell]
Os: 0.228 0.000 0.631 [2 per cell]
W: 0.276 0.500 0.181 [2 per cell]

* energy: -0.384 hartree per atom
* size of the total moment: 0.00 μB/f.u.

---

[2]
A geometry-optimized ScOsW2 structure, computed with PBE.

a = 2.823 Å, b = 4.523 Å, c = 5.219 Å
α = 90.00°, β = 102.00°, γ = 90.00°
Space group P2/m (No. 10)
Unique sites:
Sc: 0.000 0.000 0.000 [1 per cell]
Os: 0.500 0.000 0.500 [1 per cell]
W: 0.264 0.500 0.750 [2 per cell]

* energy: -0.398 hartree per atom
* size of the total moment: 0.00 μB/f.u.

---

[3]
A geometry-optimized ScOsW2 structure, computed with PBE.

a = 2.831 Å, b = 4.435 Å, c = 5.290 Å
α = 90.00°, β = 90.00°, γ = 90.00°
Space group Pmmm (No. 47)
Unique sites:
Sc: 0.000 0.000 0.000 [1 per cell]
Os: 0.000 0.000 0.500 [1 per cell]
W: 0.500 0.500 0.252 [2 per cell]

* energy: -0.390 hartree per atom
* size of the total moment: 0.00 μB/f.u.

---

[4]
A geometry-optimized Sc2OsW structure, computed with PBE.

a = 2.9935 Å, b = 2.9935 Å, c = 27.3436 Å
α = 90.00°, β = 90.00°, γ = 120.00°
Space group R-3m (No. 166, hexagonal axes)
Unique sites:
Sc: 0.0000 0.0000 0.2453 [6 per cell]
Os: 0.0000 0.0000 0.5000 [3 per cell]
W: 0.0000 0.0000 0.0000 [3 per cell]

* energy: -0.331 hartree per atom
* size of the total moment: 0.00 μB/f.u.

---

[5]
A geometry-optimized Sc3OsW structure, computed with PBE.

a = 4.945 Å, b = 4.945 Å, c = 4.945 Å
α = 90.00°, β = 90.00°, γ = 90.00°
Space group Pm-3m (No. 221)
Unique sites:
Sc: 0.000 0.000 0.500 [3 per cell]
Os: 0.000 0.000 0.000 [1 per cell]
W: 0.500 0.500 0.500 [1 per cell]

* energy: -0.288 hartree per atom
* size of the total moment: 3.19 μB/f.u.

---

[6]
A geometry-optimized ScOs2W structure, computed with PBE.

a = 2.790 Å, b = 2.790 Å, c = 8.449 Å
α = 90.00°, β = 90.00°, γ = 90.00°
Space group P4mm (No. 99)
Unique sites:
Sc: 0.000 0.000 0.000 [1 per cell]
Os: 0.000 0.000 0.535 [1 per cell]
Os: 0.500 0.500 0.737 [1 per cell]
W: 0.500 0.500 0.280 [1 per cell]

* energy: -0.380 hartree per atom
* size of the total moment: 0.00 μB/f.u.

---

Which of these has the lowest energy? number 2

---

energy of number 4 (Sc2OsW)? -0.331 hartree per atom